1.
Material: Ac5TlGe3
Method: DFT, PBE-GGA
State: optimized geometry

The calculation puts the density of states at the Fermi level at 21.8 states/eV per cell. The volume comes out at 587.90 Å³/cell. The formation energy is -0.46 eV per atom. As for the crystal system: hexagonal.

The space group is P6_3/mcm (No. 193) and the conventional cell measures 9.7891, 9.7891 and 7.0834 Å, with angles of 90.00, 90.00 and 120.00 degrees. The distinct sites, in fractional coordinates, are Ac at (0.0000, 0.2902, 0.2500), Ac at (0.3333, 0.6667, 0.0000), Tl at (0.0000, 0.0000, 0.0000) and Ge at (0.0000, 0.3734, 0.7500).


2.
Material: Ac6Tl3Ge
Method: DFT, PBE-GGA
State: optimized geometry

The calculation puts the density of states at the Fermi level at 22.3 states/eV per cell. The volume comes out at 783.44 Å³/cell. The formation energy is -0.30 eV per atom. As for the crystal system: monoclinic.

The space group is P2_1/c (No. 14) and the conventional cell measures 6.7371, 9.5151 and 13.7558 Å, with angles of 90.00, 117.32 and 90.00 degrees. The distinct sites, in fractional coordinates, are Ac at (0.0500, 0.1611, 0.4262), Ac at (0.3237, 0.6906, 0.4284), Ac at (0.3869, 0.0527, 0.2589), Tl at (0.0000, 0.0000, 0.0000), Tl at (0.1784, 0.1138, 0.7653) and Ge at (0.5000, 0.0000, 0.5000).


3.
Material: AcTlGe2
Method: DFT, PBE-GGA
State: optimized geometry

The calculation puts the density of states at the Fermi level at 4.9 states/eV per cell. The volume comes out at 438.67 Å³/cell. The formation energy is -0.35 eV per atom. As for the crystal system: orthorhombic.

The space group is Pnma (No. 62) and the conventional cell measures 6.9952, 4.9408 and 12.6921 Å, with angles of 90.00, 90.00 and 90.00 degrees. The distinct sites, in fractional coordinates, are Ac at (0.1728, 0.2500, 0.1491), Tl at (0.1574, 0.2500, 0.4488), Ge at (0.0114, 0.2500, 0.6835) and Ge at (0.1498, 0.2500, 0.8695).


4.
Material: AcTlGe
Method: DFT, PBE-GGA
State: optimized geometry

The calculation puts the density of states at the Fermi level at 0.3 states/eV per cell. The volume comes out at 384.96 Å³/cell. The formation energy is -0.45 eV per atom. As for the crystal system: orthorhombic.

The space group is Pnma (No. 62) and the conventional cell measures 11.6966, 4.5728 and 7.1975 Å, with angles of 90.00, 90.00 and 90.00 degrees. The distinct sites, in fractional coordinates, are Ac at (0.0924, 0.2500, 0.2209), Tl at (0.1339, 0.2500, 0.6966) and Ge at (0.1689, 0.7500, 0.9474).


5.
Material: Ac3TlGe2
Method: DFT, PBE-GGA
State: optimized geometry

The calculation puts the density of states at the Fermi level at 41.3 states/eV per cell. The volume comes out at 1281.93 Å³/cell. The formation energy is -0.48 eV per atom. As for the crystal system: trigonal.

The space group is R-3c (No. 167, hexagonal axes) and the conventional cell measures 8.2883, 8.2883 and 21.5480 Å, with angles of 90.00, 90.00 and 120.00 degrees. The distinct sites, in fractional coordinates, are Ac at (0.0000, 0.2995, 0.2500), Tl at (0.0000, 0.0000, 0.0000) and Ge at (0.0000, 0.0000, 0.1527).


6.
Material: Ac2Tl2Ge
Method: DFT, PBE-GGA
State: optimized geometry

The calculation puts the density of states at the Fermi level at 6.6 states/eV per cell. The volume comes out at 337.21 Å³/cell. The formation energy is -0.22 eV per atom. As for the crystal system: tetragonal.

The space group is I4/mmm (No. 139) and the conventional cell measures 4.2017, 4.2017 and 19.1014 Å, with angles of 90.00, 90.00 and 90.00 degrees. The distinct sites, in fractional coordinates, are Ac at (0.0000, 0.0000, 0.0886), Tl at (0.0000, 0.5000, 0.2500) and Ge at (0.0000, 0.0000, 0.5000).


no.,DFT total energy (eV per atom)
1,-4.55
2,-3.93
3,-4.28
4,-4.15
5,-4.47
6,-3.73